Computed, not measured: a crystal of Cr2RhW relaxed with PBEsol at the meta-GGA SCAN level of DFT.

* uncorrected energy: -35.03 eV/atom
* mass density: 12.121 g cm⁻³
* distance to the lowest polymorph of the same formula: 0.00 eV per formula unit
* calculated formation energy: 0.032 eV per atom

Cell lengths 5.9826, 5.9826, 5.9826 Å; angles 90.00, 90.00, 90.00 degrees
Closest atoms and distances in Å follow each position.
Space group F-43m (No. 216)
Asymmetric unit:
Cr 0.0000 0.0000 0.0000  4 Cr 2.59, 4 W 2.59
Cr 0.2500 0.2500 0.2500  4 Cr 2.59, 4 Rh 2.59
Rh 0.0000 0.0000 0.5000  4 Cr 2.59, 4 W 2.59
W 0.2500 0.2500 0.7500  4 Cr 2.59, 4 Rh 2.59